[1]
Compound: BaMnTe4
Source: Alexandria via LeMat-Bulk
Functional: GGA-PBE
Structure: relaxed

Cell lengths 6.5414, 6.5414, 6.5414 Å; angles 60.00, 60.00, 60.00 degrees
Fractional positions:
Ba1 0.0000 0.0000 0.0000
Mn1 0.7500 0.7500 0.7500
Te1 0.3757 0.3757 0.3757
Te2 0.3757 0.3757 0.8728
Te3 0.3757 0.8728 0.3757
Te4 0.8728 0.3757 0.3757

Output
Electronic total energy   -0.143 Ha/atom
Energy relative to the elements, uncorrected   0.043 eV per atom

***

[2]
Compound: Be3FeS
Source: Alexandria via LeMat-Bulk
Functional: GGA-PBE
Structure: relaxed

Cell lengths 4.0230, 4.0230, 4.0230 Å; angles 90.00, 90.00, 90.00 degrees
Fractional positions:
Be1 0.0000 0.0000 0.5000
Be2 0.0000 0.5000 0.0000
Be3 0.5000 0.0000 0.0000
Fe1 0.0000 0.0000 0.0000
S1 0.5000 0.5000 0.5000

Output
Electronic total energy   -0.136 Ha/atom
Energy relative to the elements, uncorrected   1.043 eV per atom
Distance to the lowest polymorph of the same formula   169 meV per atom

***

[3]
Compound: Pr7Sm16Tm6
Source: Alexandria via LeMat-Bulk
Functional: GGA-PBE
Structure: relaxed

Cell lengths 11.3351, 11.3351, 11.3351 Å; angles 60.00, 60.00, 60.00 degrees
Fractional positions:
Pr1 0.0000 0.0000 0.0000
Pr2 0.0000 0.0000 0.5000
Pr3 0.0000 0.5000 0.0000
Pr4 0.0000 0.5000 0.5000
Pr5 0.5000 0.0000 0.0000
Pr6 0.5000 0.0000 0.5000
Pr7 0.5000 0.5000 0.0000
Sm1 0.0482 0.6506 0.6506
Sm2 0.1260 0.1260 0.1260
Sm3 0.1260 0.1260 0.6219
Sm4 0.1260 0.6219 0.1260
Sm5 0.3494 0.3494 0.3494
Sm6 0.3494 0.3494 0.9518
Sm7 0.3494 0.9518 0.3494
Sm8 0.3781 0.8740 0.8740
Sm9 0.6219 0.1260 0.1260
Sm10 0.6506 0.0482 0.6506
Sm11 0.6506 0.6506 0.0482
Sm12 0.6506 0.6506 0.6506
Sm13 0.8740 0.3781 0.8740
Sm14 0.8740 0.8740 0.3781
Sm15 0.8740 0.8740 0.8740
Sm16 0.9518 0.3494 0.3494
Tm1 0.2618 0.2618 0.7382
Tm2 0.2618 0.7382 0.2618
Tm3 0.2618 0.7382 0.7382
Tm4 0.7382 0.2618 0.2618
Tm5 0.7382 0.2618 0.7382
Tm6 0.7382 0.7382 0.2618

Output
Electronic total energy   -0.163 Ha/atom
Formation energy from the elements   0.249 eV per atom

***

[4]
Compound: Er5SiSb2
Source: Alexandria via LeMat-Bulk
Functional: GGA-PBE
Structure: relaxed

Cell lengths 6.8143, 6.8143, 13.8030 Å; angles 90.00, 90.00, 128.62 degrees
Fractional positions:
Er1 0.0607 0.9393 0.6184
Er2 0.0607 0.9393 0.8816
Er3 0.3179 0.6821 0.2500
Er4 0.3682 0.6318 0.5826
Er5 0.3682 0.6318 0.9174
Er6 0.6318 0.3682 0.0826
Er7 0.6318 0.3682 0.4174
Er8 0.6821 0.3179 0.7500
Er9 0.9393 0.0607 0.1184
Er10 0.9393 0.0607 0.3816
Si1 0.2287 0.7713 0.7500
Si2 0.7713 0.2287 0.2500
Sb1 0.1798 0.8202 0.0714
Sb2 0.1798 0.8202 0.4286
Sb3 0.8202 0.1798 0.5714
Sb4 0.8202 0.1798 0.9286

Output
Electronic total energy   -0.183 Ha/atom
Energy relative to the elements, uncorrected   -0.433 eV per atom

***

- electronic total energy of number 3 (Pr7Sm16Tm6)?
  -0.163 Ha/atom